Entry from Alexandria via LeMat-Bulk: an optimized crystal structure of Bi14Pb4Cl8O21 (PBEsol).

## Properties
- Symmetry: Cm
- DFT total energy: -5.4981 eV/atom
- Formation energy without anion corrections: -1.19 eV per atom

POSCAR file:
```
Bi14Pb4Cl8O21
1.0
14.499 -1.938 0.000
14.499 1.938 0.000
-11.196 0.000 16.087
Bi Pb Cl O
14 4 8 21
direct
0.000 0.000 0.000
0.047 0.047 0.365
0.131 0.131 0.265
0.216 0.216 0.163
0.285 0.285 0.011
0.517 0.517 0.674
0.594 0.594 0.557
0.678 0.678 0.457
0.762 0.762 0.353
0.811 0.811 0.708
0.845 0.845 0.235
0.888 0.888 0.592
0.914 0.914 0.106
0.964 0.964 0.473
0.085 0.085 0.891
0.364 0.364 0.908
0.446 0.446 0.796
0.727 0.727 0.823
0.107 0.107 0.675
0.190 0.190 0.585
0.275 0.275 0.498
0.362 0.362 0.412
0.452 0.452 0.321
0.537 0.537 0.231
0.617 0.617 0.138
0.692 0.692 0.035
0.014 0.014 0.899
0.029 0.029 0.755
0.049 0.049 0.481
0.134 0.134 0.386
0.218 0.218 0.290
0.219 0.219 0.878
0.298 0.298 0.188
0.354 0.354 0.764
0.376 0.376 0.055
0.432 0.432 0.642
0.460 0.460 0.937
0.509 0.509 0.532
0.592 0.592 0.432
0.676 0.676 0.337
0.757 0.757 0.237
0.801 0.801 0.966
0.807 0.807 0.812
0.846 0.846 0.133
0.888 0.888 0.700
0.927 0.927 0.006
0.967 0.967 0.585
```